# BeTlAg4, optimized geometry, DFT PBE
data_BeTlAg4
_chemical_formula_sum 'Be4 Tl4 Ag16'
_space_group_name_H-M_alt 'F -4 3 m'
_space_group_IT_number 216
_space_group_name_Hall 'F -4 2 3'
_cell_length_a 7.8218
_cell_length_b 7.8218
_cell_length_c 7.8218
_cell_angle_alpha 90.00
_cell_angle_beta 90.00
_cell_angle_gamma 90.00
loop_
_atom_site_label
_atom_site_type_symbol
_atom_site_fract_x
_atom_site_fract_y
_atom_site_fract_z
Be1 Be 0.0000 0.0000 0.0000
Tl1 Tl 0.2500 0.2500 0.7500
Ag1 Ag 0.1254 0.1254 0.3746
# **Volume**: 19.940 Å³/atom
# **Energy of formation from the pure elements**: 0.43 eV per atom
# **Spin magnetization**: 0.0 Bohr magnetons per cell

=====

# BeTl3Ag, optimized geometry, DFT PBE
data_BeTl3Ag
_chemical_formula_sum 'Be1 Tl3 Ag1'
_space_group_name_H-M_alt 'P m -3 m'
_space_group_IT_number 221
_space_group_name_Hall '-P 4 2 3'
_cell_length_a 5.0339
_cell_length_b 5.0339
_cell_length_c 5.0339
_cell_angle_alpha 90.00
_cell_angle_beta 90.00
_cell_angle_gamma 90.00
loop_
_atom_site_label
_atom_site_type_symbol
_atom_site_fract_x
_atom_site_fract_y
_atom_site_fract_z
Be1 Be 0.0000 0.0000 0.0000
Tl1 Tl 0.0000 0.0000 0.5000
Ag1 Ag 0.5000 0.5000 0.5000
# **Energy above the most stable polymorph in this dataset**: 0.000 eV per atom
# **Volume**: 25.513 Å³/atom
# **Energy of formation from the pure elements**: 0.38 eV per atom
# **Spin magnetization**: 0.0 Bohr magnetons per cell

=====

# BeTlAg2, optimized geometry, DFT PBE
data_BeTlAg2
_chemical_formula_sum 'Be2 Tl2 Ag4'
_space_group_name_H-M_alt 'C 1 m 1'
_space_group_IT_number 8
_space_group_name_Hall 'C -2y'
_cell_length_a 9.0739
_cell_length_b 3.2383
_cell_length_c 5.7477
_cell_angle_alpha 90.00
_cell_angle_beta 115.95
_cell_angle_gamma 90.00
loop_
_atom_site_label
_atom_site_type_symbol
_atom_site_fract_x
_atom_site_fract_y
_atom_site_fract_z
Be1 Be 0.0000 0.0000 0.0000
Tl1 Tl 0.1968 0.5000 0.3929
Ag1 Ag 0.0040 0.5000 0.6937
Ag2 Ag 0.2958 0.0000 0.9979
# **Energy above the most stable polymorph in this dataset**: 0.089 eV per atom
# **Volume**: 18.982 Å³/atom
# **Energy of formation from the pure elements**: 0.32 eV per atom
# **Spin magnetization**: 0.0 Bohr magnetons per cell

=====

What is the spin magnetization in the first record? 0.0 Bohr magnetons per cell